Material: Cu8NiPd6
Method: DFT, GGA-PBE
State: relaxed

extended XYZ file:
```
15
Lattice="7.0634 0.0000 0.0000 -3.5317 6.1171 0.0000 0.0000 0.0000 4.7909" Properties=species:S:1:pos:R:3 pbc="T T T"
Cu -2.3595 4.7436 0.8774
Cu 0.6034 1.7019 0.8774
Cu 1.7756 0.3284 3.9135
Cu 0.0000 4.0781 0.8770
Cu 3.5317 2.0390 3.9138
Cu 1.7561 5.7886 0.8774
Cu 2.9283 4.4151 3.9135
Cu 5.8912 1.3735 3.9135
Ni 0.0000 0.0000 2.3954
Pd -1.6189 3.9738 3.3391
Pd 0.8997 2.7282 3.3391
Pd 2.8125 0.5849 1.4517
Pd 0.7192 5.5321 3.3391
Pd 2.6320 3.3889 1.4517
Pd 5.1506 2.1432 1.4517
```

magnetization	0.0	μB per formula unit
final energy	-4.587	eV per atom
crystal system	trigonal
energy of formation	0.060	eV per atom

Material: Cu3Ni2Pd6
Method: DFT, GGA-PBE
State: relaxed

extended XYZ file:
```
11
Lattice="-1.8562 1.8562 12.4159 1.8562 -1.8562 12.4159 1.8562 1.8562 -12.4159" Properties=species:S:1:pos:R:3 pbc="T T T"
Cu 0.0000 0.0000 0.0000
Cu 0.0000 0.0000 3.8628
Cu 0.0000 0.0000 20.9690
Ni 0.0000 0.0000 8.8910
Ni 0.0000 0.0000 15.9408
Pd 1.8562 0.0000 1.7927
Pd 0.0000 0.0000 6.5030
Pd 1.8562 0.0000 10.6232
Pd 0.0000 1.8562 1.7927
Pd 0.0000 0.0000 18.3288
Pd 0.0000 1.8562 10.6232
```

magnetization	2.0	μB per formula unit
final energy	-4.689	eV per atom
crystal system	tetragonal
energy of formation	0.312	eV per atom

Material: Cu6Ni2Pd
Method: DFT, GGA-PBE
State: relaxed

extended XYZ file:
```
9
Lattice="3.2180 -3.5773 0.0000 3.2180 3.5773 0.0000 -0.7157 0.0000 4.7812" Properties=species:S:1:pos:R:3 pbc="T T T"
Cu 1.9152 1.1857 1.5834
Cu 3.2180 2.3709 0.0000
Cu 1.9152 -1.1857 1.5834
Cu 3.8051 1.1857 3.1978
Cu 3.2180 -2.3709 0.0000
Cu 3.8051 -1.1857 3.1978
Ni 1.5870 0.0000 4.0184
Ni 4.1334 0.0000 0.7628
Pd -0.3579 0.0000 2.3906
```

magnetization	0.0	μB per formula unit
final energy	-4.538	eV per atom
crystal system	monoclinic
energy of formation	0.055	eV per atom

Material: Cu4NiPd
Method: DFT, GGA-PBE
State: relaxed

extended XYZ file:
```
6
Lattice="2.8435 0.0000 0.0000 0.0000 2.8435 0.0000 0.0000 0.0000 9.1522" Properties=species:S:1:pos:R:3 pbc="T T T"
Cu 0.0000 0.0000 1.4218
Cu 0.0000 0.0000 7.7304
Cu 1.4218 1.4218 2.8838
Cu 1.4218 1.4218 6.2684
Ni 1.4218 1.4218 0.0000
Pd 0.0000 0.0000 4.5761
```

magnetization	0.0	μB per formula unit
final energy	-4.584	eV per atom
crystal system	tetragonal
energy of formation	-0.024	eV per atom

Material: Cu5Ni4Pd4
Method: DFT, GGA-PBE
State: relaxed

extended XYZ file:
```
13
Lattice="-4.7187 4.7187 1.8664 4.7187 -4.7187 1.8664 4.7187 4.7187 -1.8664" Properties=species:S:1:pos:R:3 pbc="T T T"
Cu 0.0000 0.0000 0.0000
Cu 4.3438 2.9027 0.0000
Cu 1.8160 -0.3750 1.8664
Cu 2.9027 5.0937 0.0000
Cu 0.3750 1.8160 1.8664
Ni 5.7159 0.7122 0.0000
Ni 0.7122 3.7215 0.0000
Ni 4.0065 0.9972 1.8664
Ni -0.9972 4.0065 1.8664
Pd 2.1861 1.3880 0.0000
Pd 3.3307 -2.5327 1.8664
Pd 1.3880 7.2514 0.0000
Pd 2.5327 3.3307 1.8664
```

magnetization	2.9	μB per formula unit
final energy	-4.976	eV per atom
crystal system	tetragonal
energy of formation	-0.023	eV per atom

Material: Cu4NiPd4
Method: DFT, GGA-PBE
State: relaxed

extended XYZ file:
```
9
Lattice="-3.9726 3.9726 1.9199 3.9726 -3.9726 1.9199 3.9726 3.9726 -1.9199" Properties=species:S:1:pos:R:3 pbc="T T T"
Cu 1.2896 1.2896 0.0000
Cu 2.6830 -2.6830 1.9199
Cu -2.6830 2.6830 1.9199
Cu 2.6830 2.6830 1.9199
Ni 0.0000 0.0000 1.9199
Pd 3.9726 1.4180 0.0000
Pd 1.4180 3.9726 0.0000
Pd 2.5547 0.0000 1.9199
Pd 0.0000 2.5547 1.9199
```

magnetization	0.7	μB per formula unit
final energy	-4.832	eV per atom
crystal system	tetragonal
energy of formation	-0.061	eV per atom